First-principles (GGA-PBE) data for a geometry-optimized Hf2MgBiSb structure, as listed in Alexandria via LeMat-Bulk.

POSCAR file:
```
Hf2MgBiSb
1.0
-1.726 -5.145 -0.040
5.306 -1.792 1.616
-1.439 0.442 5.214
Sb Hf Mg Bi
1 2 1 1
direct
0.000 0.500 0.000
0.000 0.000 0.500
0.500 0.000 0.000
0.500 0.500 0.500
0.000 0.000 0.000
```

Calculated values
**Raw total energy**: -23.39 eV/f.u.
**Magnetization**: 0.000 μB per formula unit